(1)
Here is LuCu2Ge after structural relaxation from the Alexandria database. Energies are from PBE-GGA.

a = 4.5043 Å, b = 4.5043 Å, c = 4.5072 Å
α = 60.02°, β = 60.02°, γ = 60.00°
Last column: nearest neighbours and their distance in Å.
Sites, in units of the cell vectors:
Lu  0.0000  0.0000  0.0000  8 Cu 2.76
Ge  0.5000  0.5000  0.5000  8 Cu 2.76
Cu  0.7503  0.7503  0.7492  4 Ge 2.76, 4 Lu 2.76
Cu  0.2497  0.2497  0.2508  4 Ge 2.76, 4 Lu 2.76

Calculated values
Symmetry: Fm-3m (225)
Energy, eV/atom: -4.621
Total magnetization, μB per atom: 0.0000
Crystal system: cubic

(2)
Here is LuMgCuGe after structural relaxation from the Alexandria database. Energies are from PBE-GGA.

a = 4.7361 Å, b = 4.7361 Å, c = 4.7361 Å
α = 60.00°, β = 60.00°, γ = 60.00°
Last column: nearest neighbours and their distance in Å.
Sites, in units of the cell vectors:
Cu  0.7500  0.7500  0.7500  4 Mg 2.90, 4 Lu 2.90
Lu  0.5000  0.5000  0.5000  4 Cu 2.90, 4 Ge 2.90
Mg  0.0000  0.0000  0.0000  4 Ge 2.90, 4 Cu 2.90
Ge  0.2500  0.2500  0.2500  4 Lu 2.90, 4 Mg 2.90

Calculated values
Symmetry: F-43m (216)
Energy, eV/atom: -4.073
Total magnetization, μB per atom: 0.0000
Crystal system: cubic

(3)
Here is LuCuNiGe after structural relaxation from the Alexandria database. Energies are from PBE-GGA.

a = 4.4178 Å, b = 4.4178 Å, c = 4.4178 Å
α = 60.00°, β = 60.00°, γ = 60.00°
Last column: nearest neighbours and their distance in Å.
Sites, in units of the cell vectors:
Cu  0.5000  0.5000  0.5000  4 Ge 2.71, 4 Lu 2.71
Ni  0.0000  0.0000  0.0000  4 Lu 2.71, 4 Ge 2.71
Lu  0.2500  0.2500  0.2500  4 Ni 2.71, 4 Cu 2.71
Ge  0.7500  0.7500  0.7500  4 Cu 2.71, 4 Ni 2.71

Calculated values
Symmetry: F-43m (216)
Energy, eV/atom: -5.153
Total magnetization, μB per atom: 0.0000
Crystal system: cubic

(4)
Here is LuCuGePd after structural relaxation from the Alexandria database. Energies are from PBE-GGA.

a = 4.5672 Å, b = 4.5672 Å, c = 4.5672 Å
α = 60.00°, β = 60.00°, γ = 60.00°
Last column: nearest neighbours and their distance in Å.
Sites, in units of the cell vectors:
Ge  0.2500  0.2500  0.2500  4 Cu 2.80, 4 Pd 2.80
Pd  0.0000  0.0000  0.0000  4 Ge 2.80, 4 Lu 2.80
Cu  0.5000  0.5000  0.5000  4 Lu 2.80, 4 Ge 2.80
Lu  0.7500  0.7500  0.7500  4 Pd 2.80, 4 Cu 2.80

Calculated values
Symmetry: F-43m (216)
Energy, eV/atom: -5.152
Total magnetization, μB per atom: 0.0000
Crystal system: cubic

(5)
Here is PmLuCuGe after structural relaxation from the Alexandria database. Energies are from PBE-GGA.

a = 4.9899 Å, b = 4.9899 Å, c = 4.9899 Å
α = 60.00°, β = 60.00°, γ = 60.00°
Last column: nearest neighbours and their distance in Å.
Sites, in units of the cell vectors:
Ge  0.2500  0.2500  0.2500  4 Pm 3.06, 4 Lu 3.06
Pm  0.0000  0.0000  0.0000  4 Ge 3.06, 4 Cu 3.06
Lu  0.5000  0.5000  0.5000  4 Ge 3.06, 4 Cu 3.06
Cu  0.7500  0.7500  0.7500  4 Pm 3.06, 4 Lu 3.06

Calculated values
Symmetry: F-43m (216)
Energy, eV/atom: -4.962
Total magnetization, μB per atom: 0.0000
Crystal system: cubic

(6)
Here is PrLuCuGe after structural relaxation from the Alexandria database. Energies are from PBE-GGA.

a = 5.0330 Å, b = 5.0330 Å, c = 5.0330 Å
α = 60.00°, β = 60.00°, γ = 60.00°
Last column: nearest neighbours and their distance in Å.
Sites, in units of the cell vectors:
Ge  0.7500  0.7500  0.7500  4 Pr 3.08, 4 Lu 3.08
Lu  0.5000  0.5000  0.5000  4 Ge 3.08, 4 Cu 3.08
Cu  0.2500  0.2500  0.2500  4 Pr 3.08, 4 Lu 3.08
Pr  0.0000  0.0000  0.0000  4 Ge 3.08, 4 Cu 3.08

Calculated values
Symmetry: F-43m (216)
Energy, eV/atom: -4.945
Total magnetization, μB per atom: 0.0000
Crystal system: cubic

(7)
Here is LuPuCuGe after structural relaxation from the Alexandria database. Energies are from PBE-GGA.

a = 4.9314 Å, b = 4.9314 Å, c = 4.9314 Å
α = 60.00°, β = 60.00°, γ = 60.00°
Last column: nearest neighbours and their distance in Å.
Sites, in units of the cell vectors:
Cu  0.5000  0.5000  0.5000  4 Pu 3.02, 4 Lu 3.02
Lu  0.7500  0.7500  0.7500  4 Ge 3.02, 4 Cu 3.02
Pu  0.2500  0.2500  0.2500  4 Ge 3.02, 4 Cu 3.02
Ge  0.0000  0.0000  0.0000  4 Pu 3.02, 4 Lu 3.02

Calculated values
Symmetry: F-43m (216)
Energy, eV/atom: -7.228
Total magnetization, μB per atom: 1.5288
Crystal system: cubic

(8)
Here is SmLuCuGe after structural relaxation from the Alexandria database. Energies are from PBE-GGA.

a = 4.9736 Å, b = 4.9736 Å, c = 4.9736 Å
α = 60.00°, β = 60.00°, γ = 60.00°
Last column: nearest neighbours and their distance in Å.
Sites, in units of the cell vectors:
Ge  0.2500  0.2500  0.2500  4 Lu 3.05, 4 Sm 3.05
Sm  0.0000  0.0000  0.0000  4 Cu 3.05, 4 Ge 3.05
Cu  0.7500  0.7500  0.7500  4 Sm 3.05, 4 Lu 3.05
Lu  0.5000  0.5000  0.5000  4 Ge 3.05, 4 Cu 3.05

Calculated values
Symmetry: F-43m (216)
Energy, eV/atom: -4.959
Total magnetization, μB per atom: 0.0000
Crystal system: cubic

(9)
Here is TbLuCuGe after structural relaxation from the Alexandria database. Energies are from PBE-GGA.

a = 4.9281 Å, b = 4.9281 Å, c = 4.9281 Å
α = 60.00°, β = 60.00°, γ = 60.00°
Last column: nearest neighbours and their distance in Å.
Sites, in units of the cell vectors:
Lu  0.5000  0.5000  0.5000  4 Ge 3.02, 4 Cu 3.02
Ge  0.2500  0.2500  0.2500  4 Tb 3.02, 4 Lu 3.02
Cu  0.7500  0.7500  0.7500  4 Lu 3.02, 4 Tb 3.02
Tb  0.0000  0.0000  0.0000  4 Cu 3.02, 4 Ge 3.02

Calculated values
Symmetry: F-43m (216)
Energy, eV/atom: -4.954
Total magnetization, μB per atom: 0.0001
Crystal system: cubic

(10)
Here is Mg2Cu3Ge2 after structural relaxation from the Alexandria database. Energies are from PBE-GGA.

a = 3.9908 Å, b = 5.1814 Å, c = 6.4236 Å
α = 111.89°, β = 90.00°, γ = 112.65°
Last column: nearest neighbours and their distance in Å.
Sites, in units of the cell vectors:
Cu  0.3916  0.7832  0.5690  3 Ge 2.51-2.56, 2 Cu 2.53-2.56, 2 Mg 2.81
Cu  0.6084  0.2168  0.4310  3 Ge 2.51-2.56, 2 Cu 2.53-2.56, 2 Mg 2.81
Cu  0.5000  0.0000  0.0000  4 Ge 2.51, 2 Cu 2.53
Mg  0.1338  0.2676  0.7524  7 Cu 2.81-3.13, 4 Ge 2.81-2.90
Mg  0.8662  0.7324  0.2476  7 Cu 2.81-3.13, 4 Ge 2.81-2.90
Ge  0.1500  0.3001  0.2125  5 Cu 2.51-2.56
Ge  0.8500  0.6999  0.7875  5 Cu 2.51-2.56

Calculated values
Symmetry: C2/m (12)
Energy, eV/atom: -3.628
Total magnetization, μB per atom: 0.0000
Crystal system: monoclinic

(11)
Here is MgCu3Ge after structural relaxation from the Alexandria database. Energies are from PBE-GGA.

a = 4.7410 Å, b = 7.1391 Å, c = 5.0380 Å
α = 90.00°, β = 90.00°, γ = 90.00°
Last column: nearest neighbours and their distance in Å.
Sites, in units of the cell vectors:
Cu  0.5000  0.5000  0.0000  2 Ge 2.37, 2 Mg 2.52
Cu  0.0000  0.8304  0.9421  2 Ge 2.38-2.54, 1 Cu 2.49
Cu  0.0000  0.1696  0.0579  2 Ge 2.38-2.54, 1 Cu 2.49
Cu  0.0000  0.6696  0.4421  2 Ge 2.38-2.54, 1 Cu 2.49
Cu  0.0000  0.3304  0.5579  2 Ge 2.38-2.54, 1 Cu 2.49
Cu  0.5000  0.0000  0.5000  2 Ge 2.37, 2 Mg 2.52
Ge  0.0000  0.5000  0.0000  6 Cu 2.37-2.54
Ge  0.0000  0.0000  0.5000  6 Cu 2.37-2.54
Mg  0.5000  0.0000  0.0000  6 Cu 2.52-2.68
Mg  0.5000  0.5000  0.5000  6 Cu 2.52-2.68

Calculated values
Symmetry: Pbam (55)
Energy, eV/atom: -3.458
Total magnetization, μB per atom: 0.0000
Crystal system: orthorhombic

(12)
Here is Mg2Cu3Ge after structural relaxation from the Alexandria database. Energies are from PBE-GGA.

a = 5.1004 Å, b = 5.1004 Å, c = 7.9873 Å
α = 90.00°, β = 90.00°, γ = 120.00°
Last column: nearest neighbours and their distance in Å.
Sites, in units of the cell vectors:
Mg  0.6667  0.3333  0.9380  9 Cu 2.87-2.96, 3 Ge 2.99, 4 Mg 3.00-3.11
Mg  0.6667  0.3333  0.5620  9 Cu 2.87-2.96, 3 Ge 2.99, 4 Mg 3.00-3.11
Mg  0.3333  0.6667  0.0620  9 Cu 2.87-2.96, 3 Ge 2.99, 4 Mg 3.00-3.11
Mg  0.3333  0.6667  0.4380  9 Cu 2.87-2.96, 3 Ge 2.99, 4 Mg 3.00-3.11
Cu  0.3430  0.1715  0.2500  4 Cu 2.48-2.62, 2 Ge 2.51
Cu  0.8285  0.6570  0.2500  4 Cu 2.48-2.62, 2 Ge 2.51
Cu  0.6570  0.8285  0.7500  4 Cu 2.48-2.62, 2 Ge 2.51
Cu  0.1715  0.3430  0.7500  4 Cu 2.48-2.62, 2 Ge 2.51
Cu  0.1715  0.8285  0.7500  4 Cu 2.48-2.62, 2 Ge 2.51
Cu  0.8285  0.1715  0.2500  4 Cu 2.48-2.62, 2 Ge 2.51
Ge  0.0000  0.0000  0.0000  6 Cu 2.51
Ge  0.0000  0.0000  0.5000  6 Cu 2.51

Calculated values
Symmetry: P6_3/mmc (194)
Energy, eV/atom: -3.557
Total magnetization, μB per atom: 0.0000
Crystal system: hexagonal

(13)
Here is MgCu4Ge after structural relaxation from the Alexandria database. Energies are from PBE-GGA.

a = 3.9358 Å, b = 5.2606 Å, c = 8.4866 Å
α = 90.00°, β = 103.41°, γ = 90.00°
Last column: nearest neighbours and their distance in Å.
Sites, in units of the cell vectors:
Cu  0.3455  0.0159  0.6909  3 Ge 2.45-2.58, 4 Cu 2.46-2.69, 2 Mg 2.65
Cu  0.6545  0.9841  0.3091  3 Ge 2.45-2.58, 4 Cu 2.46-2.69, 2 Mg 2.65
Cu  0.5000  0.0000  0.0000  8 Cu 2.55-2.65, 4 Mg 2.79
Cu  0.3455  0.4841  0.6909  3 Ge 2.45-2.58, 4 Cu 2.46-2.69, 2 Mg 2.65
Cu  0.5000  0.5000  0.0000  8 Cu 2.55-2.65, 4 Mg 2.79
Cu  0.6545  0.5159  0.3091  3 Ge 2.45-2.58, 4 Cu 2.46-2.69, 2 Mg 2.65
Cu  0.9276  0.2500  0.8553  1 Ge 2.49, 3 Mg 2.64-2.66, 8 Cu 2.65-2.69
Cu  0.0724  0.7500  0.1447  1 Ge 2.49, 3 Mg 2.64-2.66, 8 Cu 2.65-2.69
Mg  0.0890  0.2500  0.1780  11 Cu 2.64-2.79
Mg  0.9110  0.7500  0.8220  11 Cu 2.64-2.79
Ge  0.2234  0.7500  0.4467  7 Cu 2.45-2.58
Ge  0.7766  0.2500  0.5533  7 Cu 2.45-2.58

Calculated values
Symmetry: Cmcm (63)
Energy, eV/atom: -3.798
Total magnetization, μB per atom: 0.0000
Crystal system: orthorhombic

(14)
Here is Mg2CuGe after structural relaxation from the Alexandria database. Energies are from PBE-GGA.

a = 3.8408 Å, b = 4.2226 Å, c = 4.2226 Å
α = 90.00°, β = 90.00°, γ = 90.00°
Last column: nearest neighbours and their distance in Å.
Sites, in units of the cell vectors:
Cu  0.5000  0.5000  0.5000  8 Mg 2.85, 4 Ge 2.99
Mg  0.0000  0.5000  0.0000  4 Ge 2.85, 4 Cu 2.85, 4 Mg 2.99
Mg  0.0000  0.0000  0.5000  4 Cu 2.85, 4 Ge 2.85, 4 Mg 2.99
Ge  0.5000  0.0000  0.0000  8 Mg 2.85, 4 Cu 2.99

Calculated values
Symmetry: P4/mmm (123)
Energy, eV/atom: -3.067
Total magnetization, μB per atom: 0.0000
Crystal system: tetragonal

(15)
Here is Mg2CuGe after structural relaxation from the Alexandria database. Energies are from PBE-GGA.

a = 4.1103 Å, b = 5.3270 Å, c = 7.0140 Å
α = 110.30°, β = 90.00°, γ = 90.00°
Last column: nearest neighbours and their distance in Å.
Sites, in units of the cell vectors:
Mg  0.2500  0.7875  0.5868  4 Ge 2.77-2.87, 3 Cu 2.79-2.83
Mg  0.7500  0.1751  0.9291  4 Cu 2.77-2.85, 3 Ge 2.85-2.89
Mg  0.2500  0.8249  0.0709  4 Cu 2.77-2.85, 3 Ge 2.85-2.89
Mg  0.7500  0.2125  0.4132  4 Ge 2.77-2.87, 3 Cu 2.79-2.83
Cu  0.7500  0.6208  0.7928  2 Ge 2.48, 1 Mg 2.77
Cu  0.2500  0.3792  0.2072  2 Ge 2.48, 1 Mg 2.77
Ge  0.2500  0.3417  0.7183  2 Cu 2.48, 1 Mg 2.77
Ge  0.7500  0.6583  0.2817  2 Cu 2.48, 1 Mg 2.77

Calculated values
Symmetry: P2_1/m (11)
Energy, eV/atom: -3.126
Total magnetization, μB per atom: 0.0000
Crystal system: monoclinic

(16)
Here is MgCu6Ge2 after structural relaxation from the Alexandria database. Energies are from PBE-GGA.

a = 4.0972 Å, b = 4.0972 Å, c = 7.8901 Å
α = 90.00°, β = 90.00°, γ = 90.00°
Last column: nearest neighbours and their distance in Å.
Sites, in units of the cell vectors:
Cu  0.0000  0.5000  0.3134  2 Ge 2.41, 4 Cu 2.52
Cu  0.5000  0.5000  0.5000  8 Cu 2.52, 2 Ge 2.73
Cu  0.5000  0.0000  0.6866  2 Ge 2.41, 4 Cu 2.52
Cu  0.5000  0.0000  0.3134  2 Ge 2.41, 4 Cu 2.52
Cu  0.0000  0.5000  0.6866  2 Ge 2.41, 4 Cu 2.52
Cu  0.0000  0.0000  0.5000  8 Cu 2.52
Mg  0.0000  0.0000  0.0000  8 Ge 3.14, 8 Cu 3.21
Ge  0.5000  0.5000  0.1534  4 Cu 2.41, 1 Ge 2.42
Ge  0.5000  0.5000  0.8466  4 Cu 2.41, 1 Ge 2.42

Calculated values
Symmetry: P4/mmm (123)
Energy, eV/atom: -3.913
Total magnetization, μB per atom: 0.0000
Crystal system: tetragonal

(17)
Here is MgCu5Ge2 after structural relaxation from the Alexandria database. Energies are from PBE-GGA.

a = 3.6518 Å, b = 6.1419 Å, c = 6.1419 Å
α = 69.01°, β = 72.71°, γ = 72.71°
Last column: nearest neighbours and their distance in Å.
Sites, in units of the cell vectors:
Cu  0.0000  0.5000  0.5000  2 Ge 2.48, 8 Cu 2.58
Cu  0.3642  0.4500  0.8217  3 Ge 2.39-2.54, 4 Cu 2.56-2.59
Cu  0.6358  0.1783  0.5500  3 Ge 2.39-2.54, 4 Cu 2.56-2.59
Cu  0.6358  0.5500  0.1783  3 Ge 2.39-2.54, 4 Cu 2.56-2.59
Cu  0.3642  0.8217  0.4500  3 Ge 2.39-2.54, 4 Cu 2.56-2.59
Ge  0.2628  0.2372  0.2372  7 Cu 2.39-2.54
Ge  0.7372  0.7628  0.7628  7 Cu 2.39-2.54
Mg  0.0000  0.0000  0.0000  4 Ge 2.89, 8 Cu 3.12

Calculated values
Symmetry: Immm (71)
Energy, eV/atom: -3.896
Total magnetization, μB per atom: 0.0000
Crystal system: orthorhombic

(18)
Here is Mg2Cu3Ge after structural relaxation from the Alexandria database. Energies are from PBE-GGA.

a = 5.0714 Å, b = 5.0714 Å, c = 8.1903 Å
α = 90.00°, β = 90.00°, γ = 118.99°
Last column: nearest neighbours and their distance in Å.
Sites, in units of the cell vectors:
Cu  0.9992  0.0008  0.7512  4 Cu 2.52-2.57, 2 Ge 2.53
Cu  0.6665  0.8264  0.0000  6 Cu 2.52-2.61, 2 Mg 2.80
Cu  0.9992  0.0008  0.2488  4 Cu 2.52-2.57, 2 Ge 2.53
Cu  0.8226  0.1774  0.5000  4 Ge 2.49-2.58, 2 Cu 2.57
Cu  0.1736  0.3335  0.0000  6 Cu 2.52-2.61, 2 Mg 2.80
Cu  0.1715  0.8285  0.0000  6 Cu 2.52-2.56, 2 Mg 2.77
Mg  0.3330  0.6670  0.2910  8 Cu 2.77-3.09, 4 Ge 3.03-3.09, 2 Mg 3.08
Mg  0.6725  0.3275  0.1756  4 Mg 2.88-3.11, 10 Cu 2.91-3.05, 2 Ge 3.06
Mg  0.6725  0.3275  0.8244  4 Mg 2.88-3.11, 10 Cu 2.91-3.05, 2 Ge 3.06
Mg  0.3330  0.6670  0.7090  8 Cu 2.77-3.09, 4 Ge 3.03-3.09, 2 Mg 3.08
Ge  0.3304  0.1740  0.5000  4 Cu 2.49-2.58, 2 Ge 2.55-2.60
Ge  0.8260  0.6696  0.5000  4 Cu 2.49-2.58, 2 Ge 2.55-2.60

Calculated values
Symmetry: Amm2 (38)
Energy, eV/atom: -3.475
Total magnetization, μB per atom: 0.0000
Crystal system: orthorhombic

(19)
Here is MgCu3Ge3 after structural relaxation from the Alexandria database. Energies are from PBE-GGA.

a = 6.6898 Å, b = 6.6898 Å, c = 6.6898 Å
α = 90.00°, β = 90.00°, γ = 90.00°
Last column: nearest neighbours and their distance in Å.
Sites, in units of the cell vectors:
Ge  0.0000  0.2500  0.5000  4 Cu 2.37
Ge  0.2500  0.5000  0.0000  4 Cu 2.37
Ge  0.5000  0.0000  0.7500  4 Cu 2.37
Ge  0.7500  0.5000  0.0000  4 Cu 2.37
Ge  0.5000  0.0000  0.2500  4 Cu 2.37
Ge  0.0000  0.7500  0.5000  4 Cu 2.37
Mg  0.0000  0.0000  0.0000  12 Ge 3.74, 12 Cu 3.74
Mg  0.5000  0.5000  0.5000  12 Ge 3.74, 12 Cu 3.74
Cu  0.0000  0.5000  0.2500  4 Ge 2.37
Cu  0.5000  0.2500  0.0000  4 Ge 2.37
Cu  0.2500  0.0000  0.5000  4 Ge 2.37
Cu  0.5000  0.7500  0.0000  4 Ge 2.37
Cu  0.0000  0.5000  0.7500  4 Ge 2.37
Cu  0.7500  0.0000  0.5000  4 Ge 2.37

Calculated values
Symmetry: Pm-3n (223)
Energy, eV/atom: -3.527
Total magnetization, μB per atom: 0.0000
Crystal system: cubic

(20)
Here is Mg2CuGe2 after structural relaxation from the Alexandria database. Energies are from PBE-GGA.

a = 8.1508 Å, b = 8.1508 Å, c = 2.8749 Å
α = 90.00°, β = 90.00°, γ = 90.00°
Last column: nearest neighbours and their distance in Å.
Sites, in units of the cell vectors:
Ge  0.6687  0.8313  0.5000  6 Mg 2.69-2.87, 2 Ge 2.87
Ge  0.8313  0.3313  0.5000  6 Mg 2.69-2.87, 2 Ge 2.87
Ge  0.3313  0.1687  0.5000  6 Mg 2.69-2.87, 2 Ge 2.87
Ge  0.1687  0.6687  0.5000  6 Mg 2.69-2.87, 2 Ge 2.87
Mg  0.8663  0.6337  0.0000  6 Ge 2.69-2.87, 2 Mg 2.87
Mg  0.1337  0.3663  0.0000  6 Ge 2.69-2.87, 2 Mg 2.87
Mg  0.3663  0.8663  0.0000  6 Ge 2.69-2.87, 2 Mg 2.87
Mg  0.6337  0.1337  0.0000  6 Ge 2.69-2.87, 2 Mg 2.87
Cu  0.5000  0.5000  0.0000  2 Cu 2.87, 4 Mg 3.18
Cu  0.0000  0.0000  0.0000  2 Cu 2.87, 4 Mg 3.18

Calculated values
Symmetry: P4/mbm (127)
Energy, eV/atom: -3.121
Total magnetization, μB per atom: 0.0000
Crystal system: tetragonal